# 1
The following is a PBE-GGA calculation of crystalline Mg3Cd3Rh at its relaxed geometry, from Alexandria.

a b c (Å): 6.9638 6.9638 5.9899
angles (deg): 90.00 90.00 91.02
Fractional coordinates of all 14 atoms:
Cd (0.0000, 0.5000, 0.2377)
Mg (0.7244, 0.7244, 0.5000)
Mg (0.3581, 0.6419, 0.0000)
Rh (0.7377, 0.7377, 0.0000)
Mg (0.2568, 0.7432, 0.5000)
Mg (0.7432, 0.2568, 0.5000)
Cd (0.5000, 0.0000, 0.2377)
Rh (0.2623, 0.2623, 0.0000)
Cd (0.5000, 0.0000, 0.7623)
Mg (0.6419, 0.3581, 0.0000)
Cd (0.0000, 0.5000, 0.7623)
Cd (0.0000, 0.0000, 0.7631)
Mg (0.2756, 0.2756, 0.5000)
Cd (0.0000, 0.0000, 0.2369)

Summary:
Formation energy: -0.113 eV/atom
Total moment: 0.0000 μB per atom
V: 145.2 Å³/f.u.
Density of states at the Fermi level: 0.44 states/eV/atom

# 2
The following is a PBE-GGA calculation of crystalline MgCd2Rh at its relaxed geometry, from Alexandria.

a b c (Å): 3.2275 3.2020 7.9540
angles (deg): 66.06 90.00 90.00
Fractional coordinates of all 4 atoms:
Cd (0.5000, 0.2413, 0.2603)
Rh (0.5000, 0.7681, 0.7315)
Cd (0.0000, 0.0332, 0.9648)
Mg (0.0000, 0.4574, 0.5434)

Summary:
Formation energy: -0.214 eV/atom
Total moment: 0.0000 μB per atom
V: 75.1 Å³/f.u.
Density of states at the Fermi level: 0.36 states/eV/atom

# 3
The following is a PBE-GGA calculation of crystalline MgCdRh3 at its relaxed geometry, from Alexandria.

a b c (Å): 4.5312 4.5312 4.5312
angles (deg): 90.00 90.00 90.00
Fractional coordinates of all 5 atoms:
Mg (0.0000, 0.0000, 0.0000)
Rh (0.0000, 0.5000, 0.0000)
Cd (0.5000, 0.5000, 0.5000)
Rh (0.0000, 0.0000, 0.5000)
Rh (0.5000, 0.0000, 0.0000)

Summary:
Formation energy: 0.846 eV/atom
Polymorph energy (0 for the lowest one): 0 meV/atom
Total moment: 0.0000 μB per atom
V: 93.0 Å³/f.u.
Density of states at the Fermi level: 0.99 states/eV/atom

# 4
The following is a PBE-GGA calculation of crystalline MgCdRh at its relaxed geometry, from Alexandria.

a b c (Å): 3.0127 3.0127 6.8511
angles (deg): 90.00 90.00 120.00
Fractional coordinates of all 3 atoms:
Rh (0.6667, 0.3333, 0.6543)
Cd (0.0000, 0.0000, 0.9834)
Mg (0.3333, 0.6667, 0.3624)

Summary:
Formation energy: -0.109 eV/atom
Total moment: 0.0000 μB per atom
V: 53.9 Å³/f.u.
Density of states at the Fermi level: 0.55 states/eV/atom

# 5
The following is a PBE-GGA calculation of crystalline Mg8Cd3Rh at its relaxed geometry, from Alexandria.

a b c (Å): 8.7548 7.6124 7.5291
angles (deg): 42.48 103.28 126.08
Fractional coordinates of all 12 atoms:
Mg (0.4180, 0.5178, 0.5235)
Cd (0.4599, 0.8074, 0.6820)
Mg (0.1811, 0.9302, 0.6065)
Rh (0.0519, 0.8890, 0.9505)
Mg (0.6509, 0.5784, 0.1584)
Cd (0.7847, 0.7661, 0.6625)
Mg (0.9662, 0.3511, 0.5439)
Cd (0.2117, 0.5342, 0.1589)
Mg (0.3505, 0.0680, 0.1388)
Mg (0.6284, 0.1919, 0.8024)
Mg (0.0032, 0.0795, 0.1111)
Mg (0.7936, 0.2864, 0.1616)

Summary:
Formation energy: -0.148 eV/atom
Total moment: 0.0000 μB per atom
V: 253.9 Å³/f.u.
Density of states at the Fermi level: 0.30 states/eV/atom

# 6
The following is a PBE-GGA calculation of crystalline MgCd2Rh at its relaxed geometry, from Alexandria.

a b c (Å): 4.1431 4.1365 4.2095
angles (deg): 90.00 90.00 90.00
Fractional coordinates of all 4 atoms:
Cd (0.5000, 0.5000, 0.0000)
Cd (0.0000, 0.0000, 0.0000)
Rh (0.0000, 0.5000, 0.5000)
Mg (0.5000, 0.0000, 0.5000)

Summary:
Formation energy: -0.222 eV/atom
Total moment: 0.0000 μB per atom
V: 72.1 Å³/f.u.
Density of states at the Fermi level: 0.60 states/eV/atom

# 7
The following is a PBE-GGA calculation of crystalline Mg6CdRh at its relaxed geometry, from Alexandria.

a b c (Å): 6.0646 6.3137 6.1474
angles (deg): 59.10 76.68 63.34
Fractional coordinates of all 8 atoms:
Mg (0.2606, 0.5175, 0.4128)
Mg (0.7354, 0.7370, 0.0000)
Rh (0.5000, 0.5000, 0.0000)
Mg (0.2646, 0.2630, 0.0000)
Cd (0.0000, 0.0000, 0.0000)
Mg (0.2606, 0.9304, 0.5872)
Mg (0.7394, 0.4825, 0.5872)
Mg (0.7394, 0.0696, 0.4128)

Summary:
Formation energy: 0.021 eV/atom
Polymorph energy (0 for the lowest one): 188 meV/atom
Total moment: 0.0000 μB per atom
V: 180.5 Å³/f.u.
Density of states at the Fermi level: 0.47 states/eV/atom

# 8
The following is a PBE-GGA calculation of crystalline MgCd2Rh at its relaxed geometry, from Alexandria.

a b c (Å): 3.1214 4.0444 5.8400
angles (deg): 90.00 90.00 90.00
Fractional coordinates of all 4 atoms:
Cd (0.0000, 0.0000, 0.5131)
Mg (0.5000, 0.5000, 0.2500)
Rh (0.5000, 0.5000, 0.7500)
Cd (0.0000, 0.0000, 0.9869)

Summary:
Formation energy: -0.141 eV/atom
Total moment: 0.0000 μB per atom
V: 73.7 Å³/f.u.
Density of states at the Fermi level: 0.52 states/eV/atom

# 9
The following is a PBE-GGA calculation of crystalline MgCd2Rh2 at its relaxed geometry, from Alexandria.

a b c (Å): 3.8136 3.8136 7.2580
angles (deg): 74.77 74.77 90.00
Fractional coordinates of all 5 atoms:
Cd (0.3965, 0.3965, 0.2071)
Mg (0.0000, 0.0000, 0.0000)
Cd (0.6035, 0.6035, 0.7929)
Rh (0.7500, 0.2500, 0.5000)
Rh (0.2500, 0.7500, 0.5000)

Summary:
Formation energy: 0.197 eV/atom
Polymorph energy (0 for the lowest one): 392 meV/atom
Total moment: 0.1179 μB per atom
V: 98.0 Å³/f.u.
Density of states at the Fermi level: 1.05 states/eV/atom

# 10
The following is a PBE-GGA calculation of crystalline Mg2CdRh3 at its relaxed geometry, from Alexandria.

a b c (Å): 3.1521 3.1521 9.5094
angles (deg): 90.00 90.00 90.00
Fractional coordinates of all 6 atoms:
Cd (0.5000, 0.5000, 0.5000)
Rh (0.0000, 0.0000, 0.6795)
Rh (0.0000, 0.0000, 0.0000)
Rh (0.0000, 0.0000, 0.3205)
Mg (0.5000, 0.5000, 0.8386)
Mg (0.5000, 0.5000, 0.1614)

Summary:
Formation energy: -0.333 eV/atom
Total moment: 0.0000 μB per atom
V: 94.5 Å³/f.u.
Density of states at the Fermi level: 1.04 states/eV/atom

# 11
The following is a PBE-GGA calculation of crystalline MgCd5Rh2 at its relaxed geometry, from Alexandria.

a b c (Å): 4.5229 6.3937 6.3937
angles (deg): 82.82 69.29 69.29
Fractional coordinates of all 8 atoms:
Cd (0.3195, 0.5081, 0.8529)
Mg (0.0000, 0.0000, 0.0000)
Cd (0.3195, 0.8529, 0.5081)
Cd (0.0000, 0.5000, 0.5000)
Rh (0.6715, 0.8285, 0.8285)
Cd (0.6805, 0.4919, 0.1471)
Cd (0.6805, 0.1471, 0.4919)
Rh (0.3285, 0.1715, 0.1715)

Summary:
Formation energy: -0.117 eV/atom
Polymorph energy (0 for the lowest one): 42 meV/atom
Total moment: 0.0000 μB per atom
V: 161.8 Å³/f.u.
Density of states at the Fermi level: 0.49 states/eV/atom

# 12
The following is a PBE-GGA calculation of crystalline MgCd2Rh2 at its relaxed geometry, from Alexandria.

a b c (Å): 4.8849 4.8849 5.1216
angles (deg): 96.39 103.64 129.51
Fractional coordinates of all 5 atoms:
Rh (0.2078, 0.5818, 0.7895)
Cd (0.4193, 0.2001, 0.6194)
Mg (0.0000, 0.0000, 0.0000)
Rh (0.7922, 0.4182, 0.2105)
Cd (0.5807, 0.7999, 0.3806)

Summary:
Formation energy: -0.171 eV/atom
Polymorph energy (0 for the lowest one): 24 meV/atom
Total moment: 0.0000 μB per atom
V: 85.9 Å³/f.u.
Density of states at the Fermi level: 0.69 states/eV/atom